(1)
# PmCd2Rh, optimized geometry, DFT PBE-GGA
# Offset from the most stable computed form = 0.163 eV/atom
# Energy of formation = -29 kJ per mole of atoms
data_PmCd2Rh
_space_group_name_H-M_alt 'P 4/m m m'
_space_group_IT_number 123
_space_group_name_Hall '-P 4 2'
_cell_length_a 4.109
_cell_length_b 4.109
_cell_length_c 5.207
_cell_angle_alpha 90.00
_cell_angle_beta 90.00
_cell_angle_gamma 90.00
loop_
_atom_site_label
_atom_site_fract_x
_atom_site_fract_y
_atom_site_fract_z
_atom_site_occupancy
Pm1 0.000 0.000 0.000 1
Cd1 0.000 0.500 0.500 1
Rh1 0.500 0.500 0.000 1

---

(2)
# Pa3AgN, optimized geometry, DFT PBE-GGA
# Formation energy (no corrections) = -0.42 eV per atom
data_Pa3AgN
_space_group_name_H-M_alt 'P m -3 m'
_space_group_IT_number 221
_space_group_name_Hall '-P 4 2 3'
_cell_length_a 4.731
_cell_length_b 4.731
_cell_length_c 4.731
_cell_angle_alpha 90.00
_cell_angle_beta 90.00
_cell_angle_gamma 90.00
loop_
_atom_site_label
_atom_site_fract_x
_atom_site_fract_y
_atom_site_fract_z
_atom_site_occupancy
Pa1 0.000 0.000 0.500 1
Ag1 0.500 0.500 0.500 1
N1 0.000 0.000 0.000 1